Ti2TlTcPd | Alexandria | PBEsol | optimized geometry; space group = No. 123; ΔH_f (0 K) = 1140.8 meV/atom; uncorrected energy = -6.16 eV per atom; spin magnetization = 0.052 μB/atom
1.0
4.653 0.000 0.000
0.000 4.653 0.000
0.000 0.000 4.897
Tl Tc Pd Ti
1 1 1 2
Direct
0.000 0.000 0.500
0.500 0.500 0.500
0.000 0.000 0.000
0.000 0.500 0.000
0.500 0.000 0.000